Here is an optimized crystal structure of ScAl2Ru from Alexandria via LeMat-Bulk. Energies are from PBE.

Properties
The formation energy comes out at -56 kJ/mol of atoms.

```
data_ScAl2Ru
_chemical_formula_sum 'Sc1 Al2 Ru1'
_symmetry_space_group_name_H-M 'P 4/m m m'
_symmetry_Int_Tables_number 123
_symmetry_space_group_name_Hall '-P 4 2'
_cell_length_a 3.0743
_cell_length_b 3.0743
_cell_length_c 6.9639
_cell_angle_alpha 90.00
_cell_angle_beta 90.00
_cell_angle_gamma 90.00
loop_
_atom_site_label
_atom_site_type_symbol
_atom_site_fract_x
_atom_site_fract_y
_atom_site_fract_z
Sc1 Sc 0.0000 0.0000 0.0000
Al1 Al 0.5000 0.5000 0.3016
Ru1 Ru 0.0000 0.0000 0.5000
```


Here is an optimized crystal structure of TlTeIr from Alexandria via LeMat-Bulk. Energies are from PBE.

Properties
As for the raw formation energy: 0.42 eV per formula unit. The calculation puts the energy above the most stable polymorph in this dataset at 54 meV per atom.

```
data_TlTeIr
_chemical_formula_sum 'Tl1 Te1 Ir1'
_symmetry_space_group_name_H-M 'P 3 m 1'
_symmetry_Int_Tables_number 156
_cell_length_a 3.8655
_cell_length_b 3.8655
_cell_length_c 5.9090
_cell_angle_alpha 90.00
_cell_angle_beta 90.00
_cell_angle_gamma 120.00
loop_
_symmetry_equiv_pos_as_xyz
'x,y,z'
'-y,x-y,z'
'-x+y,-x,z'
'-y,-x,z'
'-x+y,y,z'
'x,x-y,z'
loop_
_atom_site_label
_atom_site_type_symbol
_atom_site_fract_x
_atom_site_fract_y
_atom_site_fract_z
Tl1 Tl 0.0000 0.0000 0.0000
Te1 Te 0.6667 0.3333 0.4608
Ir1 Ir 0.3333 0.6667 0.6803
```


Here is an optimized crystal structure of Sc2H2Pd from Alexandria via LeMat-Bulk. Energies are from PBE.

Properties
The calculation puts the energy above the most stable polymorph in this dataset at 409 meV per atom.

```
data_Sc2H2Pd
_chemical_formula_sum 'Sc4 H4 Pd2'
_symmetry_space_group_name_H-M 'P 4/m b m'
_symmetry_Int_Tables_number 127
_symmetry_space_group_name_Hall '-P 4 2ab'
_cell_length_a 6.4622
_cell_length_b 6.4622
_cell_length_c 3.0131
_cell_angle_alpha 90.00
_cell_angle_beta 90.00
_cell_angle_gamma 90.00
loop_
_atom_site_label
_atom_site_type_symbol
_atom_site_fract_x
_atom_site_fract_y
_atom_site_fract_z
Sc1 Sc 0.1749 0.3251 0.0000
H1 H 0.1203 0.6203 0.5000
Pd1 Pd 0.0000 0.0000 0.5000
```


no.,calculated density (Mg/m³)
1,5.05
2,11.38
3,5.24